Record 1
The following is a PBE calculation of a relaxed structure of BTe2Pd8, from Alexandria.

a b c (Å): 7.670 7.670 5.711
angles (deg): 111.35 111.35 34.97
Sites, in units of the cell vectors:
1 B 0.000 0.000 0.000
2 Te 0.326 0.326 0.317
3 Te 0.674 0.674 0.683
4 Pd 0.102 0.102 0.379
5 Pd 0.125 0.125 0.903
6 Pd 0.301 0.301 0.766
7 Pd 0.493 0.493 0.229
8 Pd 0.507 0.507 0.771
9 Pd 0.699 0.699 0.234
10 Pd 0.875 0.875 0.097
11 Pd 0.898 0.898 0.621

**Raw formation energy**: -0.202 eV/atom
**D(E_F)**: 6.16 states/eV per cell
**DFT total energy**: -56.7 eV for the cell shown


Record 2
The following is a PBE calculation of a relaxed structure of B2Te2Pd, from Alexandria.

a b c (Å): 5.016 5.016 6.476
angles (deg): 90.00 90.00 90.00
Sites, in units of the cell vectors:
1 B 0.000 0.000 0.131
2 B 0.000 0.000 0.869
3 B 0.500 0.500 0.369
4 B 0.500 0.500 0.631
5 Te 0.000 0.500 0.250
6 Te 0.000 0.500 0.750
7 Te 0.500 0.000 0.250
8 Te 0.500 0.000 0.750
9 Pd 0.000 0.000 0.500
10 Pd 0.500 0.500 0.000

**Raw formation energy**: 0.673 eV/atom
**D(E_F)**: 3.75 states/eV per cell
**DFT total energy**: -42.9 eV for the cell shown
**Energy above the lowest structure with this stoichiometry**: 0 meV/atom